1.
# Be3AlMo, optimized geometry, DFT PBE
# Magnetic moment = 0.00 Bohr magnetons per cell
# V = 66.9 Å³ per cell
# Energy of formation = 1286.5 meV per atom
data_Be3AlMo
_cell_length_a 4.0588
_cell_length_b 4.0588
_cell_length_c 4.0588
_cell_angle_alpha 90.00
_cell_angle_beta 90.00
_cell_angle_gamma 90.00
_space_group_name_H-M_alt 'P m -3 m'
_space_group_IT_number 221
_space_group_name_Hall '-P 4 2 3'
loop_
_atom_site_label
_atom_site_type_symbol
_atom_site_fract_x
_atom_site_fract_y
_atom_site_fract_z
_atom_site_occupancy
Be1 Be 0.0000 0.0000 0.5000 1
Al1 Al 0.0000 0.0000 0.0000 1
Mo1 Mo 0.5000 0.5000 0.5000 1



2.
# MgH, optimized geometry, DFT PBE
# Magnetic moment = 0.00 Bohr magnetons per cell
# V = 102.3 Å³ per cell
# Energy = -2.4305 eV per atom
data_MgH
_cell_length_a 5.4660
_cell_length_b 3.1107
_cell_length_c 6.3248
_cell_angle_alpha 90.00
_cell_angle_beta 107.93
_cell_angle_gamma 90.00
_space_group_name_H-M_alt 'C 1 m 1'
_space_group_IT_number 8
_space_group_name_Hall 'C -2y'
loop_
_atom_site_label
_atom_site_type_symbol
_atom_site_fract_x
_atom_site_fract_y
_atom_site_fract_z
_atom_site_occupancy
Mg1 Mg 0.0000 0.0000 0.0000 1
Mg2 Mg 0.0222 0.5000 0.5593 1
H1 H 0.3114 0.5000 0.4365 1
H2 H 0.3902 0.0000 0.1664 1



3.
# Tb3YCo2, optimized geometry, DFT PBE
# Magnetic moment = 0.00 Bohr magnetons per cell
# V = 595.8 Å³ per cell
# Energy of formation = -144.2 meV per atom
data_Tb3YCo2
_cell_length_a 16.4506
_cell_length_b 3.7626
_cell_length_c 11.6237
_cell_angle_alpha 90.00
_cell_angle_beta 124.10
_cell_angle_gamma 90.00
_space_group_name_H-M_alt 'C 1 2/m 1'
_space_group_IT_number 12
_space_group_name_Hall '-C 2y'
loop_
_atom_site_label
_atom_site_type_symbol
_atom_site_fract_x
_atom_site_fract_y
_atom_site_fract_z
_atom_site_occupancy
Tb1 Tb 0.0841 0.0000 0.4406 1
Tb2 Tb 0.0839 0.0000 0.9417 1
Tb3 Tb 0.1598 0.5000 0.7478 1
Y1 Y 0.1583 0.5000 0.2462 1
Co1 Co 0.2329 0.5000 0.5457 1
Co2 Co 0.2340 0.5000 0.0481 1



4.
# CePm4Pb5, optimized geometry, DFT PBE
# Magnetic moment = 1.32 Bohr magnetons per cell
# V = 297.3 Å³ per cell
# Energy of formation = -485.5 meV per atom
data_CePm4Pb5
_cell_length_a 3.5938
_cell_length_b 3.5938
_cell_length_c 23.0176
_cell_angle_alpha 90.00
_cell_angle_beta 90.00
_cell_angle_gamma 90.00
_space_group_name_H-M_alt 'P 4/m m m'
_space_group_IT_number 123
_space_group_name_Hall '-P 4 2'
loop_
_atom_site_label
_atom_site_type_symbol
_atom_site_fract_x
_atom_site_fract_y
_atom_site_fract_z
_atom_site_occupancy
Ce1 Ce 0.0000 0.0000 0.0000 1
Pm1 Pm 0.0000 0.0000 0.1998 1
Pm2 Pm 0.0000 0.0000 0.3999 1
Pb1 Pb 0.5000 0.5000 0.1005 1
Pb2 Pb 0.5000 0.5000 0.2999 1
Pb3 Pb 0.5000 0.5000 0.5000 1